The following is a DFT calculation (PBEsol) of a relaxed Sr2Ga2Ru crystal.

Properties
Volume   249.1 Å³/cell
Total energy   -19.2 eV/f.u.
ΔE_f   0.260 eV per atom

Lattice parameters (Å, degrees): 3.596 3.596 19.266 90.00 90.00 90.00
Space group I4/mmm (No. 139)
One atom of each set of equivalent atoms:
Sr 0.000 0.000 0.092 [4 per cell]
Ga 0.000 0.500 0.250 [4 per cell]
Ru 0.000 0.000 0.500 [2 per cell]